Compound: Ni2RuW
Source: Alexandria
Functional: GGA-PBEsol
Structure: relaxed

Calculated values
Its total energy is -9.1027 eV per atom. As for the volume: 49 Å³/cell. The formation enthalpy at 0 K is -0.12 eV/f.u.

abc: 3.631 3.631 4.547
angles: 113.53 113.53 90.00
Atoms (fractional coordinates):
Ru1 0.000 0.000 0.000
W1 0.500 0.500 0.000
Ni1 0.750 0.250 0.500
Ni2 0.250 0.750 0.500